Version i
Entry from the Open Quantum Materials Database: an optimized crystal structure of TePdAu2 (PBE). Values from VASP.

Structure (Quantum ESPRESSO input):
```
&SYSTEM
  ibrav = 0, nat = 4, ntyp = 3
/
ATOMIC_SPECIES
Au 196.97 Au.upf
Pd 106.42 Pd.upf
Te 127.60 Te.upf
CELL_PARAMETERS angstrom
0.000 3.384 3.384
3.384 0.000 3.384
3.384 3.384 0.000
ATOMIC_POSITIONS crystal
Au 0.000 0.000 0.000
Au 0.750 0.750 0.750
Pd 0.500 0.500 0.500
Te 0.250 0.250 0.250
```

Version ii
Entry from the Open Quantum Materials Database: an optimized crystal structure of TePdAu2 (PBE). Values from VASP.

Structure (Quantum ESPRESSO input):
```
&SYSTEM
  ibrav = 0, nat = 4, ntyp = 3
/
ATOMIC_SPECIES
Au 196.97 Au.upf
Pd 106.42 Pd.upf
Te 127.60 Te.upf
CELL_PARAMETERS angstrom
-0.393 2.831 3.859
-3.397 -0.871 3.281
1.220 -1.667 4.336
ATOMIC_POSITIONS crystal
Au 0.250 0.250 0.250
Au 0.750 0.750 0.750
Pd 0.500 0.500 0.500
Te 0.000 0.000 0.000
```

Most favorable structure: version i. The second most favorable one is 0.048 eV/atom above it.

Version i
Entry from the Open Quantum Materials Database: an optimized crystal structure of TlTe3PdAu (PBE). Values from VASP.

Structure (Quantum ESPRESSO input):
```
&SYSTEM
  ibrav = 0, nat = 12, ntyp = 4
/
ATOMIC_SPECIES
Au 196.97 Au.upf
Pd 106.42 Pd.upf
Te 127.60 Te.upf
Tl 204.38 Tl.upf
CELL_PARAMETERS angstrom
7.277 -1.971 0.000
7.277 1.971 0.000
0.000 0.000 11.326
ATOMIC_POSITIONS crystal
Au 0.867 0.867 0.250
Au 0.133 0.133 0.750
Pd 0.500 0.500 0.000
Pd 0.500 0.500 0.500
Te 0.874 0.874 0.013
Te 0.520 0.520 0.250
Te 0.874 0.874 0.487
Te 0.126 0.126 0.513
Te 0.480 0.480 0.750
Te 0.126 0.126 0.987
Tl 0.216 0.216 0.250
Tl 0.784 0.784 0.750
```

Version ii
Entry from the Open Quantum Materials Database: an optimized crystal structure of TlTe3PdAu (PBE). Values from VASP.

Structure (Quantum ESPRESSO input):
```
&SYSTEM
  ibrav = 0, nat = 24, ntyp = 4
/
ATOMIC_SPECIES
Au 196.97 Au.upf
Pd 106.42 Pd.upf
Te 127.60 Te.upf
Tl 204.38 Tl.upf
CELL_PARAMETERS angstrom
-2.288 -3.717 0.060
1.806 -0.932 11.103
-11.015 6.818 2.364
ATOMIC_POSITIONS crystal
Au 0.250 0.801 0.220
Au 0.750 0.301 0.280
Au 0.250 0.699 0.720
Au 0.750 0.199 0.780
Pd 0.250 0.355 0.049
Pd 0.750 0.855 0.451
Pd 0.250 0.145 0.549
Pd 0.750 0.645 0.951
Te 0.250 0.766 0.017
Te 0.750 0.479 0.124
Te 0.250 0.175 0.203
Te 0.750 0.675 0.297
Te 0.250 0.979 0.376
Te 0.750 0.266 0.483
Te 0.250 0.734 0.517
Te 0.750 0.021 0.624
Te 0.250 0.325 0.703
Te 0.750 0.825 0.797
Te 0.250 0.521 0.876
Te 0.750 0.234 0.983
Tl 0.750 0.971 0.127
Tl 0.250 0.471 0.373
Tl 0.750 0.529 0.627
Tl 0.250 0.029 0.873
```

Most favorable structure: version i. The second most favorable one is 0.025 eV/atom above it.

Version i
Entry from the Open Quantum Materials Database: an optimized crystal structure of Y2Pd2Au (PBE). Values from VASP.

Structure (Quantum ESPRESSO input):
```
&SYSTEM
  ibrav = 0, nat = 5, ntyp = 3
/
ATOMIC_SPECIES
Au 196.97 Au.upf
Pd 106.42 Pd.upf
Y 88.91 Y.upf
CELL_PARAMETERS angstrom
-2.663 2.663 4.031
2.663 -2.663 4.031
2.663 2.663 -4.031
ATOMIC_POSITIONS crystal
Au 0.000 0.000 0.000
Pd 0.343 0.343 0.000
Pd 0.657 0.657 0.000
Y 0.750 0.250 0.500
Y 0.250 0.750 0.500
```

Version ii
Entry from the Open Quantum Materials Database: an optimized crystal structure of Y2Pd2Au (PBE). Values from VASP.

Structure (Quantum ESPRESSO input):
```
&SYSTEM
  ibrav = 0, nat = 10, ntyp = 3
/
ATOMIC_SPECIES
Au 196.97 Au.upf
Pd 106.42 Pd.upf
Y 88.91 Y.upf
CELL_PARAMETERS angstrom
-3.845 6.516 0.600
-4.588 -3.181 5.141
2.283 1.097 2.716
ATOMIC_POSITIONS crystal
Au 0.000 0.000 0.000
Au 0.500 0.500 0.000
Pd 0.371 0.129 0.000
Pd 0.871 0.371 0.000
Pd 0.129 0.629 0.000
Pd 0.629 0.871 0.000
Y 0.675 0.175 0.500
Y 0.175 0.325 0.500
Y 0.825 0.675 0.500
Y 0.325 0.825 0.500
```

Most favorable structure: version ii. The second most favorable one is 0.204 eV/atom above it.

Version i
Entry from the Open Quantum Materials Database: an optimized crystal structure of ZrPdAu (PBE). Values from VASP.

Structure (Quantum ESPRESSO input):
```
&SYSTEM
  ibrav = 0, nat = 6, ntyp = 3
/
ATOMIC_SPECIES
Au 196.97 Au.upf
Pd 106.42 Pd.upf
Zr 91.22 Zr.upf
CELL_PARAMETERS angstrom
-2.022 -4.073 -2.100
2.946 -2.931 2.848
-1.566 -1.557 4.528
ATOMIC_POSITIONS crystal
Au 0.250 0.677 0.177
Au 0.750 0.177 0.677
Pd 0.750 0.848 0.349
Pd 0.250 0.349 0.848
Zr 0.750 0.508 0.008
Zr 0.250 0.008 0.508
```

Version ii
Entry from the Open Quantum Materials Database: an optimized crystal structure of ZrPdAu (PBE). Values from VASP.

Structure (Quantum ESPRESSO input):
```
&SYSTEM
  ibrav = 0, nat = 3, ntyp = 3
/
ATOMIC_SPECIES
Au 196.97 Au.upf
Pd 106.42 Pd.upf
Zr 91.22 Zr.upf
CELL_PARAMETERS angstrom
3.102 -2.703 1.884
2.929 1.675 3.015
-0.345 -1.141 4.366
ATOMIC_POSITIONS crystal
Au 0.250 0.250 0.250
Pd 0.750 0.750 0.750
Zr 0.000 0.000 0.000
```

Version iii
Entry from the Open Quantum Materials Database: an optimized crystal structure of ZrPdAu (PBE). Values from VASP.

Structure (Quantum ESPRESSO input):
```
&SYSTEM
  ibrav = 0, nat = 3, ntyp = 3
/
ATOMIC_SPECIES
Au 196.97 Au.upf
Pd 106.42 Pd.upf
Zr 91.22 Zr.upf
CELL_PARAMETERS angstrom
0.000 3.162 3.162
3.162 0.000 3.162
3.162 3.162 0.000
ATOMIC_POSITIONS crystal
Au 0.250 0.250 0.250
Pd 0.000 0.000 0.000
Zr 0.750 0.750 0.750
```

Most favorable structure: version i. The second most favorable one is 0.417 eV/atom above it.

Version i
Entry from the Open Quantum Materials Database: an optimized crystal structure of PmPtAu (PBE). Values from VASP.

Structure (Quantum ESPRESSO input):
```
&SYSTEM
  ibrav = 0, nat = 3, ntyp = 3
/
ATOMIC_SPECIES
Au 196.97 Au.upf
Pm 145.00 Pm.upf
Pt 195.08 Pt.upf
CELL_PARAMETERS angstrom
-3.857 -2.671 0.226
-4.221 2.006 0.468
-3.035 -0.051 -3.585
ATOMIC_POSITIONS crystal
Au 0.250 0.250 0.250
Pm 0.750 0.750 0.750
Pt 0.000 0.000 0.000
```

Version ii
Entry from the Open Quantum Materials Database: an optimized crystal structure of PmPtAu (PBE). Values from VASP.

Structure (Quantum ESPRESSO input):
```
&SYSTEM
  ibrav = 0, nat = 3, ntyp = 3
/
ATOMIC_SPECIES
Au 196.97 Au.upf
Pm 145.00 Pm.upf
Pt 195.08 Pt.upf
CELL_PARAMETERS angstrom
0.000 3.382 3.382
3.382 0.000 3.382
3.382 3.382 0.000
ATOMIC_POSITIONS crystal
Au 0.250 0.250 0.250
Pm 0.000 0.000 0.000
Pt 0.750 0.750 0.750
```

Most favorable structure: version i. The second most favorable one is 0.307 eV/atom above it.

Version i
Entry from the Open Quantum Materials Database: an optimized crystal structure of PmZnAu (PBE). Values from VASP.

Structure (Quantum ESPRESSO input):
```
&SYSTEM
  ibrav = 0, nat = 3, ntyp = 3
/
ATOMIC_SPECIES
Au 196.97 Au.upf
Pm 145.00 Pm.upf
Zn 65.41 Zn.upf
CELL_PARAMETERS angstrom
0.000 3.438 3.438
3.438 0.000 3.438
3.438 3.438 0.000
ATOMIC_POSITIONS crystal
Au 0.250 0.250 0.250
Pm 0.000 0.000 0.000
Zn 0.750 0.750 0.750
```

Version ii
Entry from the Open Quantum Materials Database: an optimized crystal structure of PmZnAu (PBE). Values from VASP.

Structure (Quantum ESPRESSO input):
```
&SYSTEM
  ibrav = 0, nat = 3, ntyp = 3
/
ATOMIC_SPECIES
Au 196.97 Au.upf
Pm 145.00 Pm.upf
Zn 65.41 Zn.upf
CELL_PARAMETERS angstrom
-0.387 -3.584 -2.954
-3.547 -0.159 -3.019
0.783 0.635 -4.550
ATOMIC_POSITIONS crystal
Au 0.250 0.250 0.250
Pm 0.750 0.750 0.750
Zn 0.000 0.000 0.000
```

Most favorable structure: version ii. The second most favorable one is 0.198 eV/atom above it.

Version i
Entry from the Open Quantum Materials Database: an optimized crystal structure of PrSnPtAu (PBE). Values from VASP.

Structure (Quantum ESPRESSO input):
```
&SYSTEM
  ibrav = 0, nat = 8, ntyp = 4
/
ATOMIC_SPECIES
Au 196.97 Au.upf
Pr 140.91 Pr.upf
Pt 195.08 Pt.upf
Sn 118.71 Sn.upf
CELL_PARAMETERS angstrom
-0.291 2.634 -3.911
-3.491 0.102 3.182
4.271 7.089 4.457
ATOMIC_POSITIONS crystal
Au 0.667 0.333 0.403
Au 0.333 0.667 0.903
Pr 0.333 0.667 0.244
Pr 0.667 0.333 0.744
Pt 0.667 0.333 0.087
Pt 0.333 0.667 0.587
Sn 0.000 0.000 0.016
Sn 0.000 0.000 0.516
```

Version ii
Entry from the Open Quantum Materials Database: an optimized crystal structure of PrSnPtAu (PBE). Values from VASP.

Structure (Quantum ESPRESSO input):
```
&SYSTEM
  ibrav = 0, nat = 8, ntyp = 4
/
ATOMIC_SPECIES
Au 196.97 Au.upf
Pr 140.91 Pr.upf
Pt 195.08 Pt.upf
Sn 118.71 Sn.upf
CELL_PARAMETERS angstrom
-1.865 4.269 -0.658
-0.617 -2.231 4.096
7.933 3.983 3.363
ATOMIC_POSITIONS crystal
Au 0.333 0.667 0.105
Au 0.667 0.333 0.895
Pr 0.667 0.333 0.257
Pr 0.333 0.667 0.743
Pt 0.333 0.667 0.420
Pt 0.667 0.333 0.580
Sn 0.000 0.000 0.000
Sn 0.000 0.000 0.500
```

Most favorable structure: version ii. The second most favorable one is 0.015 eV/atom above it.

Version i
Entry from the Open Quantum Materials Database: an optimized crystal structure of PrSnAuSe3 (PBE). Values from VASP.

Structure (Quantum ESPRESSO input):
```
&SYSTEM
  ibrav = 0, nat = 12, ntyp = 4
/
ATOMIC_SPECIES
Au 196.97 Au.upf
Pr 140.91 Pr.upf
Se 78.96 Se.upf
Sn 118.71 Sn.upf
CELL_PARAMETERS angstrom
-3.552 -2.049 0.429
0.758 -6.227 -3.644
3.842 -4.781 8.971
ATOMIC_POSITIONS crystal
Au 0.530 0.941 0.250
Au 0.470 0.059 0.750
Pr 0.000 0.000 0.000
Pr 0.000 0.000 0.500
Se 0.651 0.698 0.063
Se 0.903 0.194 0.250
Se 0.651 0.698 0.437
Se 0.349 0.302 0.563
Se 0.097 0.806 0.750
Se 0.349 0.302 0.937
Sn 0.232 0.535 0.250
Sn 0.768 0.465 0.750
```

Version ii
Entry from the Open Quantum Materials Database: an optimized crystal structure of PrSnAuSe3 (PBE). Values from VASP.

Structure (Quantum ESPRESSO input):
```
&SYSTEM
  ibrav = 0, nat = 24, ntyp = 4
/
ATOMIC_SPECIES
Au 196.97 Au.upf
Pr 140.91 Pr.upf
Se 78.96 Se.upf
Sn 118.71 Sn.upf
CELL_PARAMETERS angstrom
-2.167 -1.900 3.177
8.382 -8.290 0.760
5.954 6.762 8.104
ATOMIC_POSITIONS crystal
Au 0.750 0.764 0.205
Au 0.750 0.264 0.295
Au 0.250 0.736 0.705
Au 0.250 0.236 0.795
Pr 0.250 0.475 0.193
Pr 0.250 0.975 0.307
Pr 0.750 0.025 0.693
Pr 0.750 0.525 0.807
Se 0.750 0.593 0.061
Se 0.750 0.970 0.129
Se 0.250 0.215 0.170
Se 0.250 0.715 0.330
Se 0.750 0.470 0.371
Se 0.750 0.093 0.439
Se 0.250 0.907 0.561
Se 0.250 0.530 0.629
Se 0.750 0.285 0.670
Se 0.750 0.785 0.830
Se 0.250 0.030 0.871
Se 0.250 0.407 0.939
Sn 0.250 0.806 0.017
Sn 0.250 0.306 0.483
Sn 0.750 0.694 0.517
Sn 0.750 0.194 0.983
```

Most favorable structure: version i. The second most favorable one is 0.024 eV/atom above it.